Entry from the Alexandria database: ReGe2Cl after structural relaxation (PBE-GGA).

The structure in CIF format:
```
data_ReGe2Cl
_chemical_formula_sum 'Re2 Ge4 Cl2'
_space_group_name_H-M_alt 'P 1'
_space_group_IT_number 1
_cell_length_a 5.9972
_cell_length_b 5.9972
_cell_length_c 7.2112
_cell_angle_alpha 65.43
_cell_angle_beta 65.43
_cell_angle_gamma 90.00
loop_
_space_group_symop_operation_xyz
'x,y,z'
loop_
_atom_site_label
_atom_site_type_symbol
_atom_site_fract_x
_atom_site_fract_y
_atom_site_fract_z
Ge1 Ge 0.8750 0.9373 0.7500
Cl1 Cl 0.2500 0.7500 0.5000
Ge2 Ge 0.3750 0.3127 0.7500
Ge3 Ge 0.6873 0.1250 0.2500
Re1 Re 0.7500 0.2500 0.5000
Re2 Re 0.0000 0.0000 0.0000
Cl2 Cl 0.5000 0.5000 0.0000
Ge4 Ge 0.0627 0.6250 0.2500
```

Output
Excess energy over the best structure of this formula in the dataset: 0.00 kJ per mole of atoms
Space-group type: I-42d